Compound: PrAl9Pt2
Source: Alexandria via LeMat-Bulk
Functional: PBE-GGA
Structure: optimized geometry

- total moment (μB/atom) = 0.0000
- V (Å³ per cell) = 830
- E_form (eV per formula unit) = -6.622
- density of states at the Fermi level (states/eV/f.u.) = 3.49

CIF file:
```
data_PrAl9Pt2
_space_group_name_H-M_alt 'I 41/a m d'
_space_group_IT_number 141
_cell_length_a 10.711
_cell_length_b 10.711
_cell_length_c 7.232
_cell_angle_alpha 90.00
_cell_angle_beta 90.00
_cell_angle_gamma 90.00
loop_
_space_group_symop_operation_xyz
'x,y,z'
'-x,-y,-z'
'-y+1/4,x+3/4,z+1/4'
'y+1/4,-x+3/4,-z+1/4'
'-x+1/2,-y,z+1/2'
'x+1/2,y,-z+1/2'
'y+1/4,-x+1/4,z+3/4'
'-y+1/4,x+1/4,-z+3/4'
'x,-y,-z'
'-x,y,z'
'-y+1/4,-x+1/4,-z+3/4'
'y+1/4,x+1/4,z+3/4'
'-x+1/2,y,-z+1/2'
'x+1/2,-y,z+1/2'
'y+1/4,x+3/4,-z+1/4'
'-y+1/4,-x+3/4,z+1/4'
'x+1/2,y+1/2,z+1/2'
'-x+1/2,-y+1/2,-z+1/2'
'-y+3/4,x+1/4,z+3/4'
'y+3/4,-x+1/4,-z+3/4'
'-x,-y+1/2,z'
'x,y+1/2,-z'
'y+3/4,-x+3/4,z+1/4'
'-y+3/4,x+3/4,-z+1/4'
'x+1/2,-y+1/2,-z+1/2'
'-x+1/2,y+1/2,z+1/2'
'-y+3/4,-x+3/4,-z+1/4'
'y+3/4,x+3/4,z+1/4'
'-x,y+1/2,-z'
'x,-y+1/2,z'
'y+3/4,x+1/4,-z+3/4'
'-y+3/4,-x+1/4,z+3/4'
loop_
_atom_site_label
_atom_site_fract_x
_atom_site_fract_y
_atom_site_fract_z
_atom_site_occupancy
Pr1 0.000 0.250 0.375 1
Al1 0.000 0.250 0.875 1
Al2 0.122 0.048 0.680 1
Pt1 0.000 0.000 0.000 1
```